Density functional theory data (PBE-GGA) for crystalline AlAsOs4 at its relaxed geometry.

Output
E_tot: -48.83 eV/cell
calculated volume: 16.4 A^3/atom
DOS(E_F): 1.4342 states/eV/atom

Lattice parameters (Å, degrees): 5.1824 5.1824 5.1824 60.00 60.00 60.00
Closest atoms and distances in Å follow each position.
Fractional coordinates of all 6 atoms:
Al (0.0000, 0.0000, 0.0000)  12 Os 3.04, 4 As 3.17
As (0.7500, 0.7500, 0.7500)  12 Os 3.04, 4 Al 3.17
Os (0.3751, 0.3751, 0.3751)  6 Os 2.59
Os (0.3751, 0.3751, 0.8746)  6 Os 2.59
Os (0.3751, 0.8746, 0.3751)  6 Os 2.59
Os (0.8746, 0.3751, 0.3751)  6 Os 2.59

***

Density functional theory data (PBE-GGA) for crystalline AgAu5 at its relaxed geometry.

Output
E_tot: -18.71 eV/cell
calculated volume: 20.5 A^3/atom
DOS(E_F): 0.2837 states/eV/atom
ΔE to the lowest computed polymorph: 0.111 eV per atom

Lattice parameters (Å, degrees): 5.4906 5.4906 4.7019 90.00 90.00 120.00
Closest atoms and distances in Å follow each position.
Fractional coordinates of all 6 atoms:
Ag (0.0000, 0.0000, 0.0000)  6 Au 3.17
Au (0.0000, 0.5000, 0.5000)  8 Au 2.75-2.84
Au (0.3333, 0.6667, 0.0000)  9 Au 2.84-3.17, 3 Ag 3.17
Au (0.5000, 0.0000, 0.5000)  8 Au 2.75-2.84
Au (0.5000, 0.5000, 0.5000)  8 Au 2.75-2.84
Au (0.6667, 0.3333, 0.0000)  9 Au 2.84-3.17, 3 Ag 3.17

***

Density functional theory data (PBE-GGA) for crystalline KZrB2O6 at its relaxed geometry.

Output
E_tot: -153.68 eV/cell
calculated volume: 12.6 A^3/atom
DOS(E_F): 0.3934 states/eV/atom

Lattice parameters (Å, degrees): 6.2544 6.2544 6.9201 102.74 102.74 97.59
Closest atoms and distances in Å follow each position.
Fractional coordinates of all 20 atoms:
K (0.1125, 0.8875, 0.7500)  8 O 2.70-2.98
K (0.8875, 0.1125, 0.2500)  8 O 2.70-2.98
Zr (0.4193, 0.5807, 0.2500)  8 O 2.14-2.40
Zr (0.5807, 0.4193, 0.7500)  8 O 2.14-2.40
B (0.1397, 0.4065, 0.7653)  3 O 1.36-1.40
B (0.4065, 0.1397, 0.2653)  3 O 1.36-1.40
B (0.5935, 0.8603, 0.7347)  3 O 1.36-1.40
B (0.8603, 0.5935, 0.2347)  3 O 1.36-1.40
O (0.0777, 0.5773, 0.2544)  1 B 1.36
O (0.2168, 0.2623, 0.6294)  1 B 1.37
O (0.2623, 0.2168, 0.1294)  1 B 1.37
O (0.3125, 0.5535, 0.9214)  1 B 1.40
O (0.4227, 0.9223, 0.2456)  1 B 1.36
O (0.4465, 0.6875, 0.5786)  1 B 1.40
O (0.5535, 0.3125, 0.4214)  1 B 1.40
O (0.5773, 0.0777, 0.7544)  1 B 1.36
O (0.6875, 0.4465, 0.0786)  1 B 1.40
O (0.7377, 0.7832, 0.8706)  1 B 1.37
O (0.7832, 0.7377, 0.3706)  1 B 1.37
O (0.9223, 0.4227, 0.7456)  1 B 1.36

***

Density functional theory data (PBE-GGA) for crystalline YNbW4 at its relaxed geometry.

Output
E_tot: -67.82 eV/cell
calculated volume: 18.8 A^3/atom
DOS(E_F): 0.5323 states/eV/atom

Lattice parameters (Å, degrees): 5.4247 5.4247 5.4247 60.00 60.00 60.00
Closest atoms and distances in Å follow each position.
Fractional coordinates of all 6 atoms:
Y (0.0000, 0.0000, 0.0000)  12 W 3.18, 4 Nb 3.32
Nb (0.2500, 0.2500, 0.2500)  12 W 3.18, 4 Y 3.32
W (0.1250, 0.6250, 0.6250)  6 W 2.71
W (0.6250, 0.1250, 0.6250)  6 W 2.71
W (0.6250, 0.6250, 0.1250)  6 W 2.71
W (0.6250, 0.6250, 0.6250)  6 W 2.71

***

Density functional theory data (PBE-GGA) for crystalline CaPu2Ga3 at its relaxed geometry.

Output
E_tot: -41.61 eV/cell
calculated volume: 23.4 A^3/atom
DOS(E_F): 2.2798 states/eV/atom

Lattice parameters (Å, degrees): 3.5306 3.5306 11.2509 90.00 90.00 90.00
Closest atoms and distances in Å follow each position.
Fractional coordinates of all 6 atoms:
Ca (0.0000, 0.0000, 0.0000)  8 Ga 3.17, 4 Ca 3.53
Pu (0.0000, 0.0000, 0.3370)  8 Ga 3.10
Pu (0.0000, 0.0000, 0.6630)  8 Ga 3.10
Ga (0.5000, 0.5000, 0.1732)  4 Pu 3.10, 4 Ca 3.17
Ga (0.5000, 0.5000, 0.5000)  8 Pu 3.10
Ga (0.5000, 0.5000, 0.8268)  4 Pu 3.10, 4 Ca 3.17

***

Density functional theory data (PBE-GGA) for crystalline CsLa3Tl at its relaxed geometry.

Output
E_tot: -16.28 eV/cell
calculated volume: 49.4 A^3/atom
DOS(E_F): 1.5989 states/eV/atom
ΔE to the lowest computed polymorph: 0.000 eV per atom

Lattice parameters (Å, degrees): 6.2757 6.2757 6.2757 90.00 90.00 90.00
Closest atoms and distances in Å follow each position.
Fractional coordinates of all 5 atoms:
Cs (0.0000, 0.0000, 0.0000)  12 La 4.44
La (0.0000, 0.5000, 0.5000)  2 Tl 3.14
La (0.5000, 0.0000, 0.5000)  2 Tl 3.14
La (0.5000, 0.5000, 0.0000)  2 Tl 3.14
Tl (0.5000, 0.5000, 0.5000)  6 La 3.14

***

Density functional theory data (PBE-GGA) for crystalline LaPm2Sm5 at its relaxed geometry.

Output
E_tot: -75.77 eV/cell
calculated volume: 34.4 A^3/atom
DOS(E_F): 1.6309 states/eV/atom

Lattice parameters (Å, degrees): 7.3040 14.6194 5.1599 90.00 90.00 90.00
Closest atoms and distances in Å follow each position.
Fractional coordinates of all 16 atoms:
La (0.0000, 0.0000, 0.0000)  8 Sm 3.65-3.68, 4 Pm 3.66
La (0.5000, 0.5000, 0.0000)  8 Sm 3.65-3.68, 4 Pm 3.66
Pm (0.2503, 0.1260, 0.5000)  10 Sm 3.63-3.68, 2 La 3.66
Pm (0.2497, 0.6260, 0.5000)  10 Sm 3.63-3.68, 2 La 3.66
Pm (0.7503, 0.3740, 0.5000)  10 Sm 3.63-3.68, 2 La 3.66
Pm (0.7497, 0.8740, 0.5000)  10 Sm 3.63-3.68, 2 La 3.66
Sm (0.0002, 0.2517, 0.0000)  7 Sm 3.63-3.66, 4 Pm 3.63-3.66, 1 La 3.68
Sm (0.0000, 0.5000, 0.0000)  6 Sm 3.63-3.66, 2 La 3.65, 4 Pm 3.66
Sm (0.9998, 0.7483, 0.0000)  7 Sm 3.63-3.66, 4 Pm 3.63-3.66, 1 La 3.68
Sm (0.2499, 0.3743, 0.5000)  4 Pm 3.63-3.68, 6 Sm 3.63-3.66, 2 La 3.66
Sm (0.2501, 0.8743, 0.5000)  4 Pm 3.63-3.68, 6 Sm 3.63-3.66, 2 La 3.66
Sm (0.5000, 0.0000, 0.0000)  6 Sm 3.63-3.66, 2 La 3.65, 4 Pm 3.66
Sm (0.5002, 0.2483, 0.0000)  7 Sm 3.63-3.66, 4 Pm 3.63-3.66, 1 La 3.68
Sm (0.4998, 0.7517, 0.0000)  7 Sm 3.63-3.66, 4 Pm 3.63-3.66, 1 La 3.68
Sm (0.7499, 0.1257, 0.5000)  4 Pm 3.63-3.68, 6 Sm 3.63-3.66, 2 La 3.66
Sm (0.7501, 0.6257, 0.5000)  4 Pm 3.63-3.68, 6 Sm 3.63-3.66, 2 La 3.66

***

Density functional theory data (PBE-GGA) for crystalline Ba2Mo2N at its relaxed geometry.

Output
E_tot: -31.19 eV/cell
calculated volume: 24.9 A^3/atom
DOS(E_F): 1.2093 states/eV/atom
ΔE to the lowest computed polymorph: 0.000 eV per atom

Lattice parameters (Å, degrees): 10.3437 10.3437 10.3437 160.39 160.39 27.87
Closest atoms and distances in Å follow each position.
Fractional coordinates of all 5 atoms:
Ba (0.0773, 0.0773, 0.0000)  4 N 2.94, 1 Ba 3.10
Ba (0.9227, 0.9227, 0.0000)  4 N 2.94, 1 Ba 3.10
Mo (0.2500, 0.7500, 0.5000)  4 Mo 2.49
Mo (0.7500, 0.2500, 0.5000)  4 Mo 2.49
N (0.5000, 0.5000, 0.0000)  8 Ba 2.94